(1)
Material: CaTl4
Method: DFT, GGA-PBE
State: optimized geometry

```
CaTl4
1.0
5.243 0.000 -1.531
-0.743 6.110 -2.544
-0.146 0.200 9.241
Tl Ca
8 2
Direct
0.300 0.297 0.601
0.889 0.639 0.778
0.111 0.361 0.222
0.500 0.500 0.000
0.500 0.000 0.000
0.700 0.703 0.399
0.300 0.803 0.601
0.700 0.197 0.399
0.097 0.847 0.194
0.903 0.153 0.806
```

Calculated values
Relative energy among the computed polymorphs = 0.0 meV/atom
Space group = No. 74
Formation enthalpy at 0 K = -0.160 eV per atom


(2)
Material: BaHfS3
Method: DFT, GGA-PBE
State: optimized geometry

```
BaHfS3
1.0
22.600 0.000 -1.861
0.000 6.881 0.000
-8.001 0.000 3.921
Ba S Hf
4 12 4
Direct
0.415 0.750 0.415
0.585 0.250 0.585
0.915 0.750 0.915
0.085 0.250 0.085
0.448 0.187 0.948
0.236 0.025 0.736
0.052 0.687 0.552
0.764 0.975 0.264
0.365 0.250 0.365
0.948 0.313 0.448
0.264 0.525 0.764
0.865 0.250 0.865
0.135 0.750 0.135
0.736 0.475 0.236
0.635 0.750 0.635
0.552 0.813 0.052
0.382 0.832 0.882
0.618 0.168 0.118
0.118 0.332 0.618
0.882 0.668 0.382
```

Calculated values
Space group = No. 64
Total DFT energy (no corrections) = -0.241 Ha/atom


(3)
Material: AcTbCd2
Method: DFT, GGA-PBE
State: optimized geometry

```
AcTbCd2
1.0
3.868 0.000 0.000
0.000 3.868 0.000
0.000 0.000 8.021
Tb Ac Cd
1 1 2
Direct
0.500 0.500 0.000
0.500 0.500 0.500
0.000 0.000 0.784
0.000 0.000 0.216
```

Calculated values
Relative energy among the computed polymorphs = 0.0 meV/atom
Space group = No. 123
Formation enthalpy at 0 K = -0.292 eV per atom


(4)
Material: Sr3LiTa2O9
Method: DFT, GGA-PBE
State: optimized geometry

```
Sr3LiTa2O9
1.0
-0.083 -4.616 3.360
2.223 -0.330 -5.249
6.353 1.763 2.580
O Sr Ta Li
9 3 2 1
Direct
0.000 0.500 0.000
0.660 0.830 0.325
0.500 0.500 0.000
0.830 0.660 0.675
0.500 0.000 0.000
0.170 0.340 0.325
0.830 0.170 0.675
0.340 0.170 0.675
0.170 0.830 0.325
0.333 0.667 0.653
0.667 0.333 0.347
0.000 0.000 0.000
0.667 0.333 0.822
0.333 0.667 0.178
0.000 0.000 0.500
```

Calculated values
Space group = No. 164
Total DFT energy (no corrections) = -0.286 Ha/atom


(5)
Material: Mo3PdW
Method: DFT, GGA-PBE
State: optimized geometry

```
Mo3PdW
1.0
-3.878 2.533 0.324
-1.153 -1.211 -4.332
-2.279 -3.698 1.640
Pd Mo W
1 3 1
Direct
0.000 0.000 0.000
0.000 0.000 0.500
0.000 0.500 0.000
0.500 0.000 0.000
0.500 0.500 0.500
```

Calculated values
Relative energy among the computed polymorphs = 472.1 meV/atom
Space group = No. 221
Formation enthalpy at 0 K = 2.247 eV per atom


(6)
Material: NaSr3Ca6
Method: DFT, GGA-PBE
State: optimized geometry

```
NaSr3Ca6
1.0
8.942 0.000 0.000
4.471 7.744 0.000
4.471 2.581 7.301
Ca Sr Na
6 3 1
Direct
0.759 0.241 0.241
0.241 0.759 0.759
0.759 0.241 0.759
0.241 0.241 0.759
0.759 0.759 0.241
0.241 0.759 0.241
0.250 0.250 0.250
0.500 0.500 0.500
0.750 0.750 0.750
0.000 0.000 0.000
```

Calculated values
Relative energy among the computed polymorphs = 409.2 meV/atom
Space group = No. 225
Formation enthalpy at 0 K = 0.444 eV per atom


Number 1: theoretical density 9571 kg/m3, magnetic moment 0.00 μB/atom. Number 2: theoretical density 5394 kg/m3, magnetic moment 0.00 μB/atom. Number 3: theoretical density 8453 kg/m3, magnetic moment 0.00 μB/atom. Number 4: theoretical density 6443 kg/m3, magnetic moment 0.02 μB/atom. Number 5: theoretical density 9589 kg/m3, magnetic moment 0.00 μB/atom. Number 6: theoretical density 1729 kg/m3, magnetic moment 0.13 μB/atom.